P:
! La2TbGa PBE relaxed; values from VASP
&SYSTEM
  ibrav = 0, nat = 4, ntyp = 3
/
ATOMIC_SPECIES
Tb 158.93 Tb.upf
Ga 69.72 Ga.upf
La 138.91 La.upf
CELL_PARAMETERS angstrom
5.001 0.000 0.000
0.000 4.804 0.000
0.000 0.000 4.804
ATOMIC_POSITIONS angstrom
Tb 2.500 0.000 0.000
Ga 2.500 2.402 2.402
La 0.000 0.000 2.402
La 0.000 2.402 0.000
! Crystal system   tetragonal
! Size of the total moment   0.0 μB/f.u.
! SG   P4/mmm (123)
! ρ   7.3 g/cm³


Q:
! La2TbGa PBE relaxed; values from VASP
&SYSTEM
  ibrav = 0, nat = 4, ntyp = 3
/
ATOMIC_SPECIES
La 138.91 La.upf
Tb 158.93 Tb.upf
Ga 69.72 Ga.upf
CELL_PARAMETERS angstrom
3.751 0.000 0.000
1.875 3.248 0.000
1.875 1.083 10.607
ATOMIC_POSITIONS angstrom
La 1.875 1.083 8.298
La 1.875 1.083 2.312
Tb 3.751 2.166 5.299
Ga 3.751 2.166 0.003
! Crystal system   trigonal
! Size of the total moment   0.1 μB/f.u.
! SG   R3m (160)
! ρ   6.5 g/cm³


Which structure is most stable? P, by 10.9 kJ/mol of atoms over the runner-up.


P:
! LaTb2Ga6 PBE relaxed; values from VASP
&SYSTEM
  ibrav = 0, nat = 9, ntyp = 3
/
ATOMIC_SPECIES
La 138.91 La.upf
Tb 158.93 Tb.upf
Ga 69.72 Ga.upf
CELL_PARAMETERS angstrom
4.396 0.000 0.000
2.198 7.375 1.355
2.198 2.784 6.962
ATOMIC_POSITIONS angstrom
La 0.000 0.000 0.000
Tb 6.593 6.372 5.217
Tb 2.198 3.787 3.101
Ga 4.396 1.816 4.326
Ga 4.396 8.342 3.991
Ga 4.396 5.559 7.391
Ga 4.396 5.899 3.157
Ga 4.396 4.260 5.160
Ga 4.396 4.600 0.927
! Crystal system   orthorhombic
! Size of the total moment   0.0 μB/f.u.
! SG   Immm (71)
! ρ   6.9 g/cm³


Q:
! LaTb2Ga6 PBE relaxed; values from VASP
&SYSTEM
  ibrav = 0, nat = 9, ntyp = 3
/
ATOMIC_SPECIES
La 138.91 La.upf
Tb 158.93 Tb.upf
Ga 69.72 Ga.upf
CELL_PARAMETERS angstrom
4.253 0.000 0.000
0.000 6.382 -3.685
0.000 0.000 7.370
ATOMIC_POSITIONS angstrom
La 0.000 0.000 7.370
Tb 0.000 2.127 3.685
Tb 4.253 4.255 0.000
Ga 2.126 2.141 1.236
Ga 2.126 4.241 2.449
Ga 2.126 0.000 4.897
Ga 2.126 4.241 4.921
Ga 2.126 2.141 -1.236
Ga 2.126 0.000 2.472
! Crystal system   hexagonal
! Size of the total moment   0.0 μB/f.u.
! SG   P6/mmm (191)
! ρ   7.3 g/cm³


Which structure is most stable? Q, by 14.8 kJ/mol of atoms over the runner-up.


P:
! LaTbTlGa PBE relaxed; values from VASP
&SYSTEM
  ibrav = 0, nat = 4, ntyp = 4
/
ATOMIC_SPECIES
La 138.91 La.upf
Tb 158.93 Tb.upf
Tl 204.38 Tl.upf
Ga 69.72 Ga.upf
CELL_PARAMETERS angstrom
3.718 0.000 0.000
0.000 3.718 0.000
0.000 0.000 7.857
ATOMIC_POSITIONS angstrom
La 1.859 1.859 6.307
Tb 1.859 1.859 2.662
Tl 0.000 0.000 0.696
Ga 0.000 0.000 4.358
! Crystal system   tetragonal
! Size of the total moment   0.0 μB/f.u.
! SG   P4mm (99)
! ρ   8.7 g/cm³


Q:
! LaTbTlGa PBE relaxed; values from VASP
&SYSTEM
  ibrav = 0, nat = 4, ntyp = 4
/
ATOMIC_SPECIES
Tl 204.38 Tl.upf
Tb 158.93 Tb.upf
Ga 69.72 Ga.upf
La 138.91 La.upf
CELL_PARAMETERS angstrom
-4.468 -2.712 -1.269
-3.156 -1.954 3.892
-4.826 2.195 0.905
ATOMIC_POSITIONS angstrom
Tl -3.112 -0.618 0.882
Tb 0.000 0.000 0.000
Ga -9.337 -1.854 2.646
La -6.225 -1.236 1.764
! Crystal system   cubic
! Size of the total moment   0.0 μB/f.u.
! SG   F-43m (216)
! ρ   8.6 g/cm³


Which structure is most stable? P, by 3.5 kJ/mol of atoms over the runner-up.


P:
! LaGa2Tc2 PBE relaxed; values from VASP
&SYSTEM
  ibrav = 0, nat = 10, ntyp = 3
/
ATOMIC_SPECIES
Tc 98.00 Tc.upf
Ga 69.72 Ga.upf
La 138.91 La.upf
CELL_PARAMETERS angstrom
-6.647 -3.518 0.598
2.980 -4.774 5.025
-0.809 1.919 2.303
ATOMIC_POSITIONS angstrom
Tc 0.183 -5.342 4.516
Tc -3.775 -6.086 3.747
Tc -3.850 -2.950 1.107
Tc 0.107 -2.207 1.877
Ga 0.554 -2.629 4.479
Ga -2.143 -5.392 5.834
Ga -5.030 -3.745 3.448
Ga -2.333 -0.982 2.092
La 0.000 0.000 0.000
La -1.834 -4.146 2.812
! Crystal system   tetragonal
! Size of the total moment   0.0 μB/f.u.
! SG   P4/mbm (127)
! ρ   8.9 g/cm³


Q:
! LaGa2Tc2 PBE relaxed; values from VASP
&SYSTEM
  ibrav = 0, nat = 5, ntyp = 3
/
ATOMIC_SPECIES
Tc 98.00 Tc.upf
Ga 69.72 Ga.upf
La 138.91 La.upf
CELL_PARAMETERS angstrom
4.025 0.000 0.000
0.000 4.025 0.000
2.013 2.013 5.913
ATOMIC_POSITIONS angstrom
Tc 4.025 2.013 2.956
Tc 2.013 4.025 2.956
Ga 2.013 2.013 1.330
Ga 4.025 4.025 4.583
La 0.000 0.000 0.000
! Crystal system   tetragonal
! Size of the total moment   0.5 μB/f.u.
! SG   I4/mmm (139)
! ρ   8.2 g/cm³


R:
! LaGa2Tc2 PBE relaxed; values from VASP
&SYSTEM
  ibrav = 0, nat = 5, ntyp = 3
/
ATOMIC_SPECIES
Tc 98.00 Tc.upf
Ga 69.72 Ga.upf
La 138.91 La.upf
CELL_PARAMETERS angstrom
-0.838 4.334 1.085
-3.418 0.089 -2.995
-5.190 0.755 2.496
ATOMIC_POSITIONS angstrom
Tc -2.845 1.871 -0.147
Tc -6.602 3.307 0.734
Ga -4.078 3.650 1.313
Ga -5.368 1.528 -0.727
La 0.000 0.000 0.000
! Crystal system   tetragonal
! Size of the total moment   0.0 μB/f.u.
! SG   I4/mmm (139)
! ρ   7.9 g/cm³


S:
! LaGa2Tc2 PBE relaxed; values from VASP
&SYSTEM
  ibrav = 0, nat = 10, ntyp = 3
/
ATOMIC_SPECIES
Tc 98.00 Tc.upf
Ga 69.72 Ga.upf
La 138.91 La.upf
CELL_PARAMETERS angstrom
7.965 0.000 0.000
0.000 7.965 0.000
0.000 0.000 2.817
ATOMIC_POSITIONS angstrom
Tc 1.089 5.072 1.408
Tc 5.072 6.875 1.408
Tc 6.875 2.893 1.408
Tc 2.893 1.089 1.408
Ga 2.778 6.760 0.000
Ga 6.760 5.187 0.000
Ga 5.187 1.205 0.000
Ga 1.205 2.778 0.000
La 0.000 0.000 0.000
La 3.982 3.982 0.000
! Crystal system   tetragonal
! Size of the total moment   0.1 μB/f.u.
! SG   P4/mbm (127)
! ρ   8.8 g/cm³


Which structure is most stable? Q, by 0.9 kJ/mol of atoms over the runner-up.